Entry 1:
VASP calculation (PBE-GGA) on La4Nd3Tm4 after structural relaxation.

Cell lengths 10.8291, 5.7919, 12.0833 Å; angles 90.00, 90.00, 90.00 degrees
Space group Amm2 (No. 38)
Unique sites:
La (0.0000, 0.0000, 0.0000) x2
La (0.2098, 0.0000, 0.8015) x4
La (0.5000, 0.0000, 0.9191) x2
Nd (0.0000, 0.0000, 0.2926) x2
Nd (0.2884, 0.0000, 0.4566) x4
Tm (0.0000, 0.0000, 0.5977) x2
Tm (0.3087, 0.0000, 0.1499) x4
Tm (0.5000, 0.0000, 0.6464) x2

Summary:
**Relative energy among the computed polymorphs**: 126 meV/atom
**Formation energy from the elements**: 15 kJ per mole of atoms

=====

Entry 2:
VASP calculation (PBE-GGA) on ZrTaHg after structural relaxation.

Cell lengths 3.3415, 3.3415, 11.3178 Å; angles 90.00, 90.00, 90.00 degrees
Space group P4/nmm (No. 129, origin choice 2)
Unique sites:
Zr (0.2500, 0.2500, 0.2294) x2
Ta (0.2500, 0.2500, 0.9327) x2
Hg (0.2500, 0.2500, 0.5908) x2

Summary:
**Relative energy among the computed polymorphs**: 0 meV/atom
**Formation energy from the elements**: -4 kJ per mole of atoms

=====

Entry 3:
VASP calculation (PBE-GGA) on SrSc4Os after structural relaxation.

Cell lengths 8.2954, 8.2954, 8.2954 Å; angles 90.00, 90.00, 90.00 degrees
Space group F-43m (No. 216)
Unique sites:
Sr (0.0000, 0.0000, 0.0000) x4
Sc (0.1218, 0.1218, 0.3782) x16
Os (0.2500, 0.2500, 0.7500) x4

Summary:
**Formation energy from the elements**: 65 kJ per mole of atoms

=====

Entry 4:
VASP calculation (PBE-GGA) on Mg5Cd2InNi2 after structural relaxation.

Cell lengths 10.3003, 10.3003, 3.7470 Å; angles 90.00, 90.00, 90.00 degrees
Space group P4/mbm (No. 127)
Unique sites:
Mg (0.0000, 0.5000, 0.0000) x2
Mg (0.0784, 0.2146, 0.0000) x8
Cd (0.1683, 0.6683, 0.5000) x4
In (0.0000, 0.0000, 0.5000) x2
Ni (0.1189, 0.3811, 0.5000) x4

Summary:
**Formation energy from the elements**: -4 kJ per mole of atoms

=====

Entry 5:
VASP calculation (PBE-GGA) on SnHgPd2 after structural relaxation.

Cell lengths 6.6532, 6.6532, 6.6532 Å; angles 90.00, 90.00, 90.00 degrees
Space group Fm-3m (No. 225)
Unique sites:
Sn (0.0000, 0.0000, 0.0000) x4
Hg (0.0000, 0.0000, 0.5000) x4
Pd (0.2500, 0.2500, 0.2500) x8

Summary:
**Relative energy among the computed polymorphs**: 2 meV/atom
**Formation energy from the elements**: -30 kJ per mole of atoms

=====

Entry 6:
VASP calculation (PBE-GGA) on Li3SmTl4 after structural relaxation.

Cell lengths 5.0140, 5.0140, 25.6983 Å; angles 90.00, 90.00, 120.00 degrees
Space group R-3m (No. 166, hexagonal axes)
Unique sites:
Li (0.0000, 0.0000, 0.0000) x3
Li (0.0000, 0.0000, 0.2513) x6
Sm (0.0000, 0.0000, 0.5000) x3
Tl (0.0000, 0.0000, 0.1150) x6
Tl (0.0000, 0.0000, 0.3706) x6

Summary:
**Formation energy from the elements**: -26 kJ per mole of atoms

=====

Entry 7:
VASP calculation (PBE-GGA) on Ba4CaTe after structural relaxation.

Cell lengths 10.7564, 10.7564, 10.7564 Å; angles 90.00, 90.00, 90.00 degrees
Space group F-43m (No. 216)
Unique sites:
Ba (0.1243, 0.1243, 0.3757) x16
Ca (0.0000, 0.0000, 0.0000) x4
Te (0.2500, 0.2500, 0.7500) x4

Summary:
**ΔE_f (raw)**: 1.1 kcal/mol of atoms

=====

Entry 8:
VASP calculation (PBE-GGA) on Er3CoSb2 after structural relaxation.

Cell lengths 11.7078, 4.2824, 11.6557 Å; angles 90.00, 90.00, 90.00 degrees
Space group Pnma (No. 62)
Unique sites:
Er (0.0580, 0.2500, 0.1269) x4
Er (0.1163, 0.7500, 0.5505) x4
Er (0.2320, 0.2500, 0.7934) x4
Co (0.1273, 0.2500, 0.3576) x4
Sb (0.0090, 0.7500, 0.3086) x4
Sb (0.1933, 0.7500, 0.9931) x4

Summary:
**ΔE_f (raw)**: -18.5 kcal/mol of atoms

=====

Entry 9:
VASP calculation (PBE-GGA) on La2ZnCl after structural relaxation.

Cell lengths 3.5595, 3.5595, 8.2075 Å; angles 90.00, 90.00, 90.00 degrees
Space group P4/mmm (No. 123)
Unique sites:
La (0.0000, 0.0000, 0.2370) x2
Zn (0.5000, 0.5000, 0.0000) x1
Cl (0.5000, 0.5000, 0.5000) x1

Summary:
**Relative energy among the computed polymorphs**: 95 meV/atom
**ΔE_f (raw)**: -19.3 kcal/mol of atoms

=====

Entry 10:
VASP calculation (PBE-GGA) on Ca4Bi3H2 after structural relaxation.

Cell lengths 13.1387, 4.0791, 9.1052 Å; angles 90.00, 110.80, 90.00 degrees
Space group C2/m (No. 12)
Unique sites:
Ca (0.1226, 0.0000, 0.4333) x4
Ca (0.2027, 0.5000, 0.1425) x4
Bi (0.0000, 0.0000, 0.0000) x2
Bi (0.0910, 0.5000, 0.7422) x4
H (0.2000, 0.5000, 0.3908) x4

Summary:
**Uncorrected energy**: -3.560 eV per atom

=====

Entry 11:
VASP calculation (PBE-GGA) on La4TePb2Se after structural relaxation.

Cell lengths 7.9099, 4.5857, 7.9829 Å; angles 90.00, 109.48, 90.00 degrees
Space group P2/m (No. 10)
Unique sites:
La (0.2445, 0.0000, 0.2411) x2
La (0.2496, 0.5000, 0.7569) x2
Te (0.0000, 0.0000, 0.5000) x1
Pb (0.5000, 0.0000, 0.0000) x1
Pb (0.5000, 0.5000, 0.5000) x1
Se (0.0000, 0.5000, 0.0000) x1

Summary:
**ΔE_f (raw)**: -27.2 kcal/mol of atoms

=====

Entry 12:
VASP calculation (PBE-GGA) on HfBeV2Cl after structural relaxation.

Cell lengths 4.7972, 4.7972, 4.8013 Å; angles 90.00, 90.00, 90.00 degrees
Space group P4/mmm (No. 123)
Unique sites:
Hf (0.0000, 0.0000, 0.0000) x1
Be (0.5000, 0.5000, 0.5000) x1
V (0.0000, 0.5000, 0.0000) x2
Cl (0.0000, 0.0000, 0.5000) x1

Summary:
**ΔE_f (raw)**: 38.3 kcal/mol of atoms